A plane-wave DFT calculation with PBE-GGA was carried out for a relaxed structure of HgTe3F.

Lattice parameters (Å, degrees): 5.0347 5.0347 5.0347 90.00 90.00 90.00
Atoms (fractional coordinates):
Hg (0.0000, 0.0000, 0.0000)
Te (0.0000, 0.5000, 0.5000)
Te (0.5000, 0.0000, 0.5000)
Te (0.5000, 0.5000, 0.0000)
F (0.5000, 0.5000, 0.5000)

Density of states at the Fermi level ... 3.56 states/eV/f.u.
Crystal system ... cubic
Space-group type ... No. 221



A plane-wave DFT calculation with PBE-GGA was carried out for a relaxed structure of HgTeF3.

Lattice parameters (Å, degrees): 4.6348 4.6348 4.6348 90.00 90.00 90.00
Atoms (fractional coordinates):
Hg (0.0000, 0.0000, 0.0000)
Te (0.5000, 0.5000, 0.5000)
F (0.0000, 0.0000, 0.5000)
F (0.0000, 0.5000, 0.0000)
F (0.5000, 0.0000, 0.0000)

Density of states at the Fermi level ... 0.00 states/eV/f.u.
Crystal system ... cubic
Space-group type ... No. 221



A plane-wave DFT calculation with PBE-GGA was carried out for a relaxed structure of HgTe2F.

Lattice parameters (Å, degrees): 8.0963 8.0963 8.0963 31.47 31.47 31.47
Atoms (fractional coordinates):
Hg (0.0000, 0.0000, 0.0000)
Te (0.4012, 0.4012, 0.4012)
Te (0.5988, 0.5988, 0.5988)
F (0.5000, 0.5000, 0.5000)

Density of states at the Fermi level ... 6.54 states/eV/f.u.
Crystal system ... trigonal
Space-group type ... No. 166



A plane-wave DFT calculation with PBE-GGA was carried out for a relaxed structure of HgTe2F.

Lattice parameters (Å, degrees): 10.7069 10.7069 10.7069 156.23 156.23 33.87
Atoms (fractional coordinates):
Hg (0.0000, 0.0000, 0.0000)
Hg (0.7500, 0.2500, 0.5000)
Te (0.1318, 0.6250, 0.0068)
Te (0.3750, 0.3818, 0.5068)
Te (0.6182, 0.1250, 0.9932)
Te (0.8750, 0.8682, 0.4932)
F (0.2500, 0.7500, 0.5000)
F (0.5000, 0.5000, 0.0000)

Density of states at the Fermi level ... 1.78 states/eV/f.u.
Crystal system ... tetragonal
Space-group type ... No. 122



A plane-wave DFT calculation with PBE-GGA was carried out for a relaxed structure of HgTeF.

Lattice parameters (Å, degrees): 5.5924 5.5924 7.3177 101.75 101.75 50.26
Atoms (fractional coordinates):
Hg (0.0804, 0.0804, 0.2958)
Hg (0.9196, 0.9196, 0.7042)
Te (0.3691, 0.3691, 0.8744)
Te (0.6309, 0.6309, 0.1256)
F (0.1376, 0.1376, 0.6241)
F (0.8624, 0.8624, 0.3759)

Crystal system ... monoclinic
Space-group type ... No. 12



A plane-wave DFT calculation with PBE-GGA was carried out for a relaxed structure of Hg2TeF.

Lattice parameters (Å, degrees): 4.3422 4.2623 5.5716 90.00 90.07 90.00
Atoms (fractional coordinates):
Hg (0.0000, 0.0000, 0.0000)
Hg (0.3770, 0.5000, 0.4997)
Te (0.5091, 0.5000, 0.9998)
F (0.0571, 0.0000, 0.4992)

Density of states at the Fermi level ... 1.45 states/eV/f.u.
Crystal system ... monoclinic
Space-group type ... No. 6



A plane-wave DFT calculation with PBE-GGA was carried out for a relaxed structure of Hg2TeF.

Lattice parameters (Å, degrees): 5.9577 6.2206 6.7560 65.03 78.41 64.97
Atoms (fractional coordinates):
Hg (0.0000, 0.0000, 0.0000)
Hg (0.1203, 0.5349, 0.4796)
Hg (0.4009, 0.0329, 0.4506)
Hg (0.6806, 0.4491, 0.4349)
Te (0.4904, 0.7590, 0.9064)
Te (0.4956, 0.2146, 0.9924)
F (0.0208, 0.9884, 0.4012)
F (0.9844, 0.4584, 0.8632)

Density of states at the Fermi level ... 1.25 states/eV/f.u.
Crystal system ... triclinic
Space-group type ... No. 1



A plane-wave DFT calculation with PBE-GGA was carried out for a relaxed structure of Hg2TeF.

Lattice parameters (Å, degrees): 5.3185 6.5557 6.7466 103.18 99.48 91.98
Atoms (fractional coordinates):
Hg (0.1670, 0.0347, 0.3781)
Hg (0.2197, 0.5946, 0.6192)
Hg (0.7803, 0.4054, 0.3808)
Hg (0.8330, 0.9653, 0.6219)
Te (0.3795, 0.1802, 0.0695)
Te (0.6205, 0.8198, 0.9305)
F (0.4633, 0.7175, 0.3703)
F (0.5367, 0.2825, 0.6297)

Crystal system ... triclinic
Space-group type ... No. 2



The calculation returns the following E_form (uncorrected) values, one per record and in order: 0.063; -0.824; -0.283; -0.378; -0.828; -0.559; -0.568; -0.608 eV per atom.
The calculation returns the following calculated total energy values, one per record and in order: -11.3; -13.2; -9.6; -19.9; -15.6; -7.9; -15.8; -16.1 eV per cell.